Here is an optimized crystal structure of TbTmMgNi from Alexandria. Energies are from PBE-GGA.

Cell: 3.4251 3.4251 7.8755 Å, 90.00 90.00 90.00°
Element x y z (fractional)
Tb (0.0000, 0.0000, 0.0000)
Tm (0.0000, 0.0000, 0.5949)
Mg (0.5000, 0.5000, 0.3020)
Ni (0.5000, 0.5000, 0.7891)

Output
Its space-group type is P4mm, No. 99. As for the formation enthalpy at 0 K: -0.260 eV/atom. For the magnetization, the calculation gives 0.00 μB per formula unit. For the energy above the lowest structure with this stoichiometry, the calculation gives 0 meV per atom.



Here is an optimized crystal structure of TbTmMgNi from Alexandria. Energies are from PBE-GGA.

Cell: 5.0231 5.0231 5.0231 Å, 60.00 60.00 60.00°
Element x y z (fractional)
Tb (0.0000, 0.0000, 0.0000)
Tm (0.5000, 0.5000, 0.5000)
Mg (0.7500, 0.7500, 0.7500)
Ni (0.2500, 0.2500, 0.2500)

Output
Its space-group type is F-43m, No. 216. As for the formation enthalpy at 0 K: -0.122 eV/atom. For the magnetization, the calculation gives 0.00 μB per formula unit. For the energy above the lowest structure with this stoichiometry, the calculation gives 138 meV per atom.



Here is an optimized crystal structure of TbYMgNi from Alexandria. Energies are from PBE-GGA.

Cell: 3.4609 3.4609 7.9069 Å, 90.00 90.00 90.00°
Element x y z (fractional)
Tb (0.0000, 0.0000, 0.0000)
Y (0.0000, 0.0000, 0.5925)
Mg (0.5000, 0.5000, 0.2972)
Ni (0.5000, 0.5000, 0.7984)

Output
Its space-group type is P4mm, No. 99. As for the formation enthalpy at 0 K: -0.242 eV/atom. For the magnetization, the calculation gives 0.00 μB per formula unit. For the energy above the lowest structure with this stoichiometry, the calculation gives 0 meV per atom.



Here is an optimized crystal structure of TbYMgNi from Alexandria. Energies are from PBE-GGA.

Cell: 5.0689 5.0689 5.0689 Å, 60.00 60.00 60.00°
Element x y z (fractional)
Tb (0.0000, 0.0000, 0.0000)
Y (0.5000, 0.5000, 0.5000)
Mg (0.7500, 0.7500, 0.7500)
Ni (0.2500, 0.2500, 0.2500)

Output
Its space-group type is F-43m, No. 216. As for the formation enthalpy at 0 K: -0.114 eV/atom. For the magnetization, the calculation gives 0.00 μB per formula unit. For the energy above the lowest structure with this stoichiometry, the calculation gives 128 meV per atom.